Compound: Mg2H3Ir4
Source: Alexandria via LeMat-Bulk
Functional: PBE
Structure: relaxed

The structure in POSCAR format:
```
Mg2H3Ir4
1.0
7.024 0.001 0.000
-0.936 4.807 0.000
0.000 0.000 2.892
Mg H Ir
2 3 4
Direct
0.626 0.115 0.529
0.995 0.603 0.529
0.760 0.783 0.529
0.400 0.705 0.529
0.810 0.355 0.029
0.980 0.097 0.029
0.297 0.332 0.529
0.305 0.862 0.029
0.642 0.612 0.029
```

Properties
**N(E_F)**: 0.351 states/eV per atom
**Energy**: -5.55 eV per atom
**Symmetry**: Pm, No. 6
**Magnetic moment**: 0.00 μB per formula unit



Compound: MgH3Ir
Source: Alexandria via LeMat-Bulk
Functional: PBE
Structure: relaxed

The structure in POSCAR format:
```
MgH3Ir
1.0
-4.479 -1.119 0.725
1.831 -5.134 3.721
0.170 1.209 2.925
Mg H Ir
2 6 2
Direct
0.093 0.384 0.358
0.605 0.014 0.540
0.497 0.450 0.321
0.333 0.233 0.932
0.803 0.588 0.752
0.018 0.767 0.160
0.822 0.202 0.947
0.374 0.852 0.122
0.684 0.666 0.213
0.102 0.039 0.028
```

Properties
**Energy**: -4.31 eV per atom
**Symmetry**: P1, No. 1
**Magnetic moment**: 0.00 μB per formula unit



Compound: Mg2H3Ir4
Source: Alexandria via LeMat-Bulk
Functional: PBE
Structure: relaxed

The structure in POSCAR format:
```
Mg2H3Ir4
1.0
7.138 0.000 -0.001
-0.786 4.814 0.000
0.000 0.000 2.916
Mg H Ir
2 3 4
Direct
0.567 0.076 0.529
0.894 0.632 0.529
0.284 0.030 0.530
0.458 0.454 0.529
0.732 0.356 0.029
0.900 0.111 0.029
0.200 0.360 0.529
0.213 0.834 0.030
0.565 0.611 0.029
```

Properties
**N(E_F)**: 0.391 states/eV per atom
**Energy**: -5.52 eV per atom
**Symmetry**: Pm, No. 6
**Magnetic moment**: 0.00 μB per formula unit



Compound: MgH4Ir5
Source: Alexandria via LeMat-Bulk
Functional: PBE
Structure: relaxed

The structure in POSCAR format:
```
MgH4Ir5
1.0
4.738 0.000 0.001
1.385 4.432 -0.001
0.000 0.000 5.347
Mg H Ir
1 4 5
Direct
0.451 0.362 0.655
0.538 0.195 0.155
0.263 0.907 0.368
0.684 0.782 0.655
0.263 0.907 0.942
0.413 0.593 0.155
0.902 0.581 0.404
0.927 0.084 0.155
0.027 0.048 0.655
0.902 0.581 0.906
```

Properties
**N(E_F)**: 0.555 states/eV per atom
**Energy**: -5.85 eV per atom
**Symmetry**: Pm, No. 6
**Magnetic moment**: 0.00 μB per formula unit



Compound: Mg2H2Ir3
Source: Alexandria via LeMat-Bulk
Functional: PBE
Structure: relaxed

The structure in POSCAR format:
```
Mg2H2Ir3
1.0
-2.403 -1.497 -4.477
1.346 -3.921 -1.627
-1.311 -4.092 2.704
Mg H Ir
2 2 3
Direct
0.291 0.127 0.190
0.946 0.097 0.601
0.252 0.624 0.235
0.800 0.693 0.554
0.651 0.616 0.855
0.387 0.355 0.641
0.867 0.849 0.175
```

Properties
**N(E_F)**: 0.720 states/eV per atom
**Energy**: -5.32 eV per atom
**Symmetry**: P1, No. 1
**Magnetic moment**: 0.00 μB per formula unit



Compound: Mg3HIr2
Source: Alexandria via LeMat-Bulk
Functional: PBE
Structure: relaxed

The structure in POSCAR format:
```
Mg3HIr2
1.0
4.854 0.009 2.008
1.128 3.679 1.686
0.004 0.008 5.251
Mg H Ir
3 1 2
Direct
0.354 0.951 0.755
0.026 0.770 0.426
0.642 0.156 0.044
0.274 0.568 0.675
0.059 0.456 0.028
0.627 0.456 0.461
```

Properties
**N(E_F)**: 0.195 states/eV per atom
**Energy**: -4.61 eV per atom
**Symmetry**: Cm, No. 8
**Magnetic moment**: 0.00 μB per formula unit



Compound: Mg3HIr3
Source: Alexandria via LeMat-Bulk
Functional: PBE
Structure: relaxed

The structure in POSCAR format:
```
Mg3HIr3
1.0
4.004 0.001 -1.498
2.041 4.609 -0.646
-0.001 -0.007 6.123
Mg H Ir
3 1 3
Direct
0.217 0.652 0.557
0.942 0.649 0.004
0.766 0.235 0.236
0.714 0.565 0.468
0.170 0.080 0.890
0.483 0.847 0.282
0.560 0.080 0.671
```

Properties
**N(E_F)**: 0.485 states/eV per atom
**Energy**: -5.19 eV per atom
**Symmetry**: P1, No. 1
**Magnetic moment**: 0.00 μB per formula unit



Compound: MgH6Ir
Source: Alexandria via LeMat-Bulk
Functional: PBE
Structure: relaxed

The structure in POSCAR format:
```
MgH6Ir
1.0
-0.710 4.692 0.119
-3.612 -0.879 -2.953
-5.129 0.501 3.938
Mg H Ir
2 12 2
Direct
0.930 0.070 0.250
0.070 0.930 0.750
0.215 0.641 0.235
0.785 0.359 0.765
0.359 0.785 0.265
0.641 0.215 0.735
0.766 0.409 0.357
0.234 0.591 0.643
0.591 0.234 0.143
0.409 0.766 0.857
0.237 0.209 0.970
0.763 0.791 0.030
0.791 0.763 0.530
0.209 0.237 0.470
0.000 0.500 0.500
0.500 0.000 0.000
```

Properties
**N(E_F)**: 0.031 states/eV per atom
**Energy**: -3.91 eV per atom
**Symmetry**: C2/c, No. 15
**Magnetic moment**: 0.00 μB per formula unit



Compound: MgH3Ir
Source: Alexandria via LeMat-Bulk
Functional: PBE
Structure: relaxed

The structure in POSCAR format:
```
MgH3Ir
1.0
4.555 -0.001 -0.012
0.001 3.233 0.002
-0.372 1.614 6.112
H Mg Ir
6 2 2
Direct
0.695 0.273 0.568
0.161 0.050 0.013
0.337 0.888 0.336
0.962 0.728 0.658
0.793 0.907 0.298
0.192 0.276 0.563
0.027 0.457 0.198
0.464 0.683 0.747
0.523 0.001 0.110
0.956 0.176 0.762
```

Properties
**N(E_F)**: 0.000 states/eV per atom
**Energy**: -4.33 eV per atom
**Symmetry**: Cm, No. 8
**Magnetic moment**: 0.00 μB per formula unit



Compound: MgH3Ir
Source: Alexandria via LeMat-Bulk
Functional: PBE
Structure: relaxed

The structure in POSCAR format:
```
MgH3Ir
1.0
-2.471 0.575 -2.153
-1.963 -2.082 1.698
-1.347 3.235 2.411
H Mg Ir
3 1 1
Direct
0.000 0.000 0.718
0.500 0.000 0.420
0.000 0.500 0.420
0.000 0.000 0.150
0.500 0.500 0.556
```

Properties
**N(E_F)**: 0.095 states/eV per atom
**Energy**: -3.87 eV per atom
**Symmetry**: P4mm, No. 99
**Magnetic moment**: 0.00 μB per formula unit



Compound: MgH3Ir
Source: Alexandria via LeMat-Bulk
Functional: PBE
Structure: relaxed

The structure in POSCAR format:
```
MgH3Ir
1.0
-3.105 -4.555 0.645
4.185 -2.854 0.014
1.177 -0.348 3.229
Mg H Ir
2 6 2
Direct
0.668 0.699 0.600
0.168 0.075 0.911
0.960 0.957 0.472
0.265 0.577 0.661
0.459 0.816 0.042
0.009 0.594 0.153
0.509 0.179 0.361
0.765 0.195 0.852
0.812 0.260 0.320
0.312 0.513 0.193
```

Properties
**N(E_F)**: 0.122 states/eV per atom
**Energy**: -4.33 eV per atom
**Symmetry**: Cmc2_1, No. 36
**Magnetic moment**: 0.00 μB per formula unit



Compound: Mg5HIr2
Source: Alexandria via LeMat-Bulk
Functional: PBE
Structure: relaxed

The structure in POSCAR format:
```
Mg5HIr2
1.0
4.805 -0.001 -0.385
-2.399 4.158 -0.384
0.001 0.006 7.263
Mg H Ir
5 1 2
Direct
0.374 0.974 0.972
0.646 0.576 0.675
0.131 0.726 0.346
0.795 0.061 0.345
0.044 0.304 0.972
0.259 0.192 0.496
0.450 0.381 0.318
0.725 0.655 0.032
```

Properties
**N(E_F)**: 0.358 states/eV per atom
**Energy**: -3.91 eV per atom
**Symmetry**: P1, No. 1
**Magnetic moment**: 0.00 μB per formula unit